Arrangement P

! PBE SrNi3Te, optimized geometry; values from VASP
&SYSTEM
  ibrav = 0, nat = 5, ntyp = 3
/
ATOMIC_SPECIES
Te 127.60 Te.upf
Ni 58.69 Ni.upf
Sr 87.62 Sr.upf
CELL_PARAMETERS angstrom
-2.0094 3.3027 -2.8374
-4.2366 -2.2043 0.4345
-1.0050 2.6888 3.8414
ATOMIC_POSITIONS crystal
Te 0.5000 0.5000 0.5000
Ni 0.0000 0.5000 0.0000
Ni 0.5000 0.0000 0.0000
Ni 0.0000 0.0000 0.5000
Sr 0.0000 0.0000 0.0000
! Calculated volume: 110 Å³/cell

=====

Arrangement Q

! PBE SrNi3Te, optimized geometry; values from VASP
&SYSTEM
  ibrav = 0, nat = 5, ntyp = 3
/
ATOMIC_SPECIES
Ni 58.69 Ni.upf
Te 127.60 Te.upf
Sr 87.62 Sr.upf
CELL_PARAMETERS angstrom
-4.2329 0.6941 2.0357
-2.1301 -1.9751 -3.7556
0.2978 -4.2615 2.0723
ATOMIC_POSITIONS crystal
Ni 0.5000 0.0000 0.0000
Ni 0.0000 0.0000 0.5000
Ni 0.0000 0.5000 0.0000
Te 0.0000 0.0000 0.0000
Sr 0.5000 0.5000 0.5000
! Calculated volume: 107 Å³/cell

=====

arrangement Q is favored, and the nearest alternative lies 1367 meV per atom above it.

=====

Arrangement P

! PBE SrNiTe3, optimized geometry; values from VASP
&SYSTEM
  ibrav = 0, nat = 5, ntyp = 3
/
ATOMIC_SPECIES
Sr 87.62 Sr.upf
Te 127.60 Te.upf
Ni 58.69 Ni.upf
CELL_PARAMETERS angstrom
5.2232 0.0000 0.0000
0.0000 5.2232 0.0000
0.0000 0.0000 5.2232
ATOMIC_POSITIONS crystal
Sr 0.5000 0.5000 0.5000
Te 0.0000 0.0000 0.5000
Te 0.0000 0.5000 0.0000
Te 0.5000 0.0000 0.0000
Ni 0.0000 0.0000 0.0000
! Calculated volume: 142 Å³/cell

=====

Arrangement Q

! PBE SrNiTe3, optimized geometry; values from VASP
&SYSTEM
  ibrav = 0, nat = 5, ntyp = 3
/
ATOMIC_SPECIES
Ni 58.69 Ni.upf
Te 127.60 Te.upf
Sr 87.62 Sr.upf
CELL_PARAMETERS angstrom
-1.6698 -5.0722 2.8093
-2.5903 -1.9629 -5.0837
5.1874 -2.6129 -1.6343
ATOMIC_POSITIONS crystal
Ni 0.5000 0.5000 0.5000
Te 0.5000 0.0000 0.0000
Te 0.0000 0.5000 0.0000
Te 0.0000 0.0000 0.5000
Sr 0.0000 0.0000 0.0000
! Calculated volume: 220 Å³/cell

=====

arrangement P is favored, and the nearest alternative lies 1369 meV per atom above it.

=====

Arrangement P

! PBE SrTiNi2, optimized geometry; values from VASP
&SYSTEM
  ibrav = 0, nat = 8, ntyp = 3
/
ATOMIC_SPECIES
Sr 87.62 Sr.upf
Ni 58.69 Ni.upf
Ti 47.87 Ti.upf
CELL_PARAMETERS angstrom
-0.1825 3.5113 3.4087
-4.1966 1.6424 -1.9165
-6.1477 -2.1285 5.3811
ATOMIC_POSITIONS crystal
Sr 0.0000 0.0000 0.0000
Sr 0.7500 0.2500 0.5000
Ni 0.8750 0.6250 0.7500
Ni 0.3750 0.6250 0.2500
Ni 0.3750 0.6250 0.7500
Ni 0.3750 0.1250 0.2500
Ti 0.2500 0.7500 0.5000
Ti 0.5000 0.5000 0.0000
! Calculated volume: 185 Å³/cell

=====

Arrangement Q

! PBE SrTiNi2, optimized geometry; values from VASP
&SYSTEM
  ibrav = 0, nat = 4, ntyp = 3
/
ATOMIC_SPECIES
Ni 58.69 Ni.upf
Sr 87.62 Sr.upf
Ti 47.87 Ti.upf
CELL_PARAMETERS angstrom
4.5901 -0.5772 -0.5609
1.9824 -4.0812 1.0635
1.6035 -2.7654 -3.3909
ATOMIC_POSITIONS crystal
Ni 0.7500 0.7500 0.7500
Ni 0.2500 0.2500 0.2500
Sr 0.5000 0.5000 0.5000
Ti 0.0000 0.0000 0.0000
! Calculated volume: 72 Å³/cell

=====

arrangement P is favored, and the nearest alternative lies 20 meV per atom above it.

=====

Arrangement P

! PBE SrTi3Ni, optimized geometry; values from VASP
&SYSTEM
  ibrav = 0, nat = 5, ntyp = 3
/
ATOMIC_SPECIES
Ti 47.87 Ti.upf
Ni 58.69 Ni.upf
Sr 87.62 Sr.upf
CELL_PARAMETERS angstrom
-2.3013 3.6925 1.6841
0.8530 -1.4526 4.3507
3.9677 2.4540 0.0414
ATOMIC_POSITIONS crystal
Ti 0.0000 0.0000 0.5000
Ti 0.0000 0.5000 0.0000
Ti 0.5000 0.0000 0.0000
Ni 0.5000 0.5000 0.5000
Sr 0.0000 0.0000 0.0000
! Calculated volume: 102 Å³/cell

=====

Arrangement Q

! PBE SrTi3Ni, optimized geometry; values from VASP
&SYSTEM
  ibrav = 0, nat = 5, ntyp = 3
/
ATOMIC_SPECIES
Ni 58.69 Ni.upf
Ti 47.87 Ti.upf
Sr 87.62 Sr.upf
CELL_PARAMETERS angstrom
4.7671 0.0000 0.0000
0.0000 4.7671 0.0000
0.0000 0.0000 4.7671
ATOMIC_POSITIONS crystal
Ni 0.0000 0.0000 0.0000
Ti 0.0000 0.5000 0.0000
Ti 0.0000 0.0000 0.5000
Ti 0.5000 0.0000 0.0000
Sr 0.5000 0.5000 0.5000
! Calculated volume: 108 Å³/cell

=====

arrangement Q is favored, and the nearest alternative lies 1704 meV per atom above it.

=====

Arrangement P

! PBE SrTiNi3, optimized geometry; values from VASP
&SYSTEM
  ibrav = 0, nat = 5, ntyp = 3
/
ATOMIC_SPECIES
Ti 47.87 Ti.upf
Sr 87.62 Sr.upf
Ni 58.69 Ni.upf
CELL_PARAMETERS angstrom
4.5847 0.0000 0.0000
0.0000 4.5847 0.0000
0.0000 0.0000 4.5847
ATOMIC_POSITIONS crystal
Ti 0.0000 0.0000 0.0000
Sr 0.5000 0.5000 0.5000
Ni 0.0000 0.0000 0.5000
Ni 0.5000 0.0000 0.0000
Ni 0.0000 0.5000 0.0000
! Calculated volume: 96 Å³/cell

=====

Arrangement Q

! PBE SrTiNi3, optimized geometry; values from VASP
&SYSTEM
  ibrav = 0, nat = 5, ntyp = 3
/
ATOMIC_SPECIES
Ni 58.69 Ni.upf
Sr 87.62 Sr.upf
Ti 47.87 Ti.upf
CELL_PARAMETERS angstrom
4.6747 0.0000 0.0000
0.0000 4.6747 0.0000
0.0000 0.0000 4.6747
ATOMIC_POSITIONS crystal
Ni 0.0000 0.5000 0.0000
Ni 0.5000 0.0000 0.0000
Ni 0.0000 0.0000 0.5000
Sr 0.0000 0.0000 0.0000
Ti 0.5000 0.5000 0.5000
! Calculated volume: 102 Å³/cell

=====

arrangement P is favored, and the nearest alternative lies 1378 meV per atom above it.

=====

Arrangement P

! PBE SrTlNi2, optimized geometry; values from VASP
&SYSTEM
  ibrav = 0, nat = 4, ntyp = 3
/
ATOMIC_SPECIES
Tl 204.38 Tl.upf
Ni 58.69 Ni.upf
Sr 87.62 Sr.upf
CELL_PARAMETERS angstrom
-1.5214 3.3222 1.9574
0.4867 0.3953 4.0976
4.8931 4.1688 1.1101
ATOMIC_POSITIONS crystal
Tl 0.7125 0.7125 0.8624
Ni 0.3003 0.3003 0.0994
Ni 0.9678 0.9678 0.0972
Sr 0.5194 0.5194 0.4410
! Calculated volume: 90 Å³/cell

=====

Arrangement Q

! PBE SrTlNi2, optimized geometry; values from VASP
&SYSTEM
  ibrav = 0, nat = 4, ntyp = 3
/
ATOMIC_SPECIES
Ni 58.69 Ni.upf
Sr 87.62 Sr.upf
Tl 204.38 Tl.upf
CELL_PARAMETERS angstrom
-4.6740 1.4227 -0.0181
-2.8875 -1.1452 -3.7711
-3.5599 -3.2987 0.5625
ATOMIC_POSITIONS crystal
Ni 0.2500 0.2500 0.2500
Ni 0.0000 0.0000 0.0000
Sr 0.5000 0.5000 0.5000
Tl 0.7500 0.7500 0.7500
! Calculated volume: 82 Å³/cell

=====

Arrangement R

! PBE SrTlNi2, optimized geometry; values from VASP
&SYSTEM
  ibrav = 0, nat = 4, ntyp = 3
/
ATOMIC_SPECIES
Ni 58.69 Ni.upf
Sr 87.62 Sr.upf
Tl 204.38 Tl.upf
CELL_PARAMETERS angstrom
-0.8039 1.9844 -2.7876
-3.3998 -0.0441 0.9490
-2.4546 5.4318 4.5745
ATOMIC_POSITIONS crystal
Ni 0.0000 0.4371 0.5629
Ni 0.0000 0.0629 0.9371
Sr 0.5000 0.2500 0.2500
Tl 0.5000 0.7500 0.7500
! Calculated volume: 82 Å³/cell

=====

Arrangement S

! PBE SrTlNi2, optimized geometry; values from VASP
&SYSTEM
  ibrav = 0, nat = 4, ntyp = 3
/
ATOMIC_SPECIES
Tl 204.38 Tl.upf
Ni 58.69 Ni.upf
Sr 87.62 Sr.upf
CELL_PARAMETERS angstrom
-0.6286 -4.0481 -6.3158
-2.7758 -0.0654 3.8223
-2.8478 0.5557 -2.0375
ATOMIC_POSITIONS crystal
Tl 0.5000 0.5000 0.0000
Ni 0.5000 0.0000 0.5000
Ni 0.0000 0.0000 0.0000
Sr 0.0000 0.5000 0.5000
! Calculated volume: 79 Å³/cell

=====

arrangement P is favored, and the nearest alternative lies 269 meV per atom above it.

=====

Arrangement P

! PBE SrTlNi2, optimized geometry; values from VASP
&SYSTEM
  ibrav = 0, nat = 4, ntyp = 3
/
ATOMIC_SPECIES
Ni 58.69 Ni.upf
Tl 204.38 Tl.upf
Sr 87.62 Sr.upf
CELL_PARAMETERS angstrom
4.4850 -0.0525 -0.0064
2.2920 3.8554 -0.0064
2.2836 1.2814 5.2095
ATOMIC_POSITIONS crystal
Ni 0.4365 0.4365 0.6911
Ni 0.0635 0.0635 0.8089
Tl 0.7500 0.7500 0.7500
Sr 0.2500 0.2500 0.2500
! Calculated volume: 91 Å³/cell

=====

Arrangement Q

! PBE SrTlNi2, optimized geometry; values from VASP
&SYSTEM
  ibrav = 0, nat = 8, ntyp = 3
/
ATOMIC_SPECIES
Ni 58.69 Ni.upf
Tl 204.38 Tl.upf
Sr 87.62 Sr.upf
CELL_PARAMETERS angstrom
-1.0312 4.1884 2.0953
-2.1844 -2.3280 3.5784
6.0538 0.5882 7.2913
ATOMIC_POSITIONS crystal
Ni 0.9076 0.6250 0.2500
Ni 0.8424 0.1250 0.2500
Ni 0.3750 0.1576 0.7500
Ni 0.8750 0.0924 0.7500
Tl 0.0000 0.0000 0.0000
Tl 0.7500 0.2500 0.5000
Sr 0.2500 0.7500 0.5000
Sr 0.5000 0.5000 0.0000
! Calculated volume: 204 Å³/cell

=====

arrangement P is favored, and the nearest alternative lies 235 meV per atom above it.

=====

Arrangement P

! PBE SrTlNi3, optimized geometry; values from VASP
&SYSTEM
  ibrav = 0, nat = 5, ntyp = 3
/
ATOMIC_SPECIES
Ni 58.69 Ni.upf
Tl 204.38 Tl.upf
Sr 87.62 Sr.upf
CELL_PARAMETERS angstrom
4.8660 0.0000 0.0000
0.0000 4.8660 0.0000
0.0000 0.0000 4.8660
ATOMIC_POSITIONS crystal
Ni 0.5000 0.0000 0.0000
Ni 0.0000 0.5000 0.0000
Ni 0.0000 0.0000 0.5000
Tl 0.5000 0.5000 0.5000
Sr 0.0000 0.0000 0.0000
! Calculated volume: 115 Å³/cell

=====

Arrangement Q

! PBE SrTlNi3, optimized geometry; values from VASP
&SYSTEM
  ibrav = 0, nat = 5, ntyp = 3
/
ATOMIC_SPECIES
Ni 58.69 Ni.upf
Tl 204.38 Tl.upf
Sr 87.62 Sr.upf
CELL_PARAMETERS angstrom
4.8669 0.0000 0.0000
0.0000 4.8669 0.0000
0.0000 0.0000 4.8669
ATOMIC_POSITIONS crystal
Ni 0.5000 0.0000 0.0000
Ni 0.0000 0.5000 0.0000
Ni 0.0000 0.0000 0.5000
Tl 0.0000 0.0000 0.0000
Sr 0.5000 0.5000 0.5000
! Calculated volume: 115 Å³/cell

=====

arrangement Q is favored, and the nearest alternative lies 850 meV per atom above it.

=====

Arrangement P

! PBE SrTm2Ni, optimized geometry; values from VASP
&SYSTEM
  ibrav = 0, nat = 4, ntyp = 3
/
ATOMIC_SPECIES
Sr 87.62 Sr.upf
Tm 168.93 Tm.upf
Ni 58.69 Ni.upf
CELL_PARAMETERS angstrom
-1.8234 -2.9009 1.8471
1.0500 -0.9654 3.6217
-7.1586 5.4697 5.6250
ATOMIC_POSITIONS crystal
Sr 0.0000 0.0000 0.0000
Tm 0.8788 0.8788 0.3637
Tm 0.1212 0.1212 0.6363
Ni 0.5000 0.5000 0.5000
! Calculated volume: 136 Å³/cell

=====

Arrangement Q

! PBE SrTm2Ni, optimized geometry; values from VASP
&SYSTEM
  ibrav = 0, nat = 4, ntyp = 3
/
ATOMIC_SPECIES
Ni 58.69 Ni.upf
Sr 87.62 Sr.upf
Tm 168.93 Tm.upf
CELL_PARAMETERS angstrom
3.4463 0.0000 0.0000
0.0000 3.4463 0.0000
0.0000 0.0000 9.5264
ATOMIC_POSITIONS crystal
Ni 0.5000 0.5000 0.0000
Sr 0.5000 0.5000 0.5000
Tm 0.0000 0.0000 0.8356
Tm 0.0000 0.0000 0.1644
! Calculated volume: 113 Å³/cell

=====

arrangement Q is favored, and the nearest alternative lies 97 meV per atom above it.

=====

Arrangement P

! PBE SrVNi2, optimized geometry; values from VASP
&SYSTEM
  ibrav = 0, nat = 4, ntyp = 3
/
ATOMIC_SPECIES
V 50.94 V.upf
Sr 87.62 Sr.upf
Ni 58.69 Ni.upf
CELL_PARAMETERS angstrom
0.0000 3.2701 3.2701
3.2701 0.0000 3.2701
3.2701 3.2701 0.0000
ATOMIC_POSITIONS crystal
V 0.0000 0.0000 0.0000
Sr 0.5000 0.5000 0.5000
Ni 0.7500 0.7500 0.7500
Ni 0.2500 0.2500 0.2500
! Calculated volume: 70 Å³/cell

=====

Arrangement Q

! PBE SrVNi2, optimized geometry; values from VASP
&SYSTEM
  ibrav = 0, nat = 8, ntyp = 3
/
ATOMIC_SPECIES
Sr 87.62 Sr.upf
Ni 58.69 Ni.upf
V 50.94 V.upf
CELL_PARAMETERS angstrom
4.8552 0.0000 0.0000
0.0000 4.8552 0.0000
2.4276 2.4276 7.6063
ATOMIC_POSITIONS crystal
Sr 0.0000 0.0000 0.0000
Sr 0.7500 0.2500 0.5000
Ni 0.3750 0.1250 0.2500
Ni 0.3750 0.6250 0.7500
Ni 0.8750 0.6250 0.7500
Ni 0.3750 0.6250 0.2500
V 0.5000 0.5000 0.0000
V 0.2500 0.7500 0.5000
! Calculated volume: 179 Å³/cell

=====

arrangement Q is favored, and the nearest alternative lies 100 meV per atom above it.

=====

Arrangement P

! PBE SrV2Ni, optimized geometry; values from VASP
&SYSTEM
  ibrav = 0, nat = 8, ntyp = 3
/
ATOMIC_SPECIES
Sr 87.62 Sr.upf
V 50.94 V.upf
Ni 58.69 Ni.upf
CELL_PARAMETERS angstrom
4.3643 0.0000 0.0000
0.0000 4.3643 0.0000
2.1821 2.1821 9.1513
ATOMIC_POSITIONS crystal
Sr 0.7500 0.2500 0.5000
Sr 0.0000 0.0000 0.0000
V 0.3750 0.6250 0.2500
V 0.8750 0.6250 0.7500
V 0.3750 0.6250 0.7500
V 0.3750 0.1250 0.2500
Ni 0.5000 0.5000 0.0000
Ni 0.2500 0.7500 0.5000
! Calculated volume: 174 Å³/cell

=====

Arrangement Q

! PBE SrV2Ni, optimized geometry; values from VASP
&SYSTEM
  ibrav = 0, nat = 4, ntyp = 3
/
ATOMIC_SPECIES
V 50.94 V.upf
Ni 58.69 Ni.upf
Sr 87.62 Sr.upf
CELL_PARAMETERS angstrom
0.0000 3.2020 3.2020
3.2020 0.0000 3.2020
3.2020 3.2020 0.0000
ATOMIC_POSITIONS crystal
V 0.7500 0.7500 0.7500
V 0.2500 0.2500 0.2500
Ni 0.0000 0.0000 0.0000
Sr 0.5000 0.5000 0.5000
! Calculated volume: 66 Å³/cell

=====

arrangement P is favored, and the nearest alternative lies 221 meV per atom above it.

=====

Arrangement P

! PBE Sr2VNi, optimized geometry; values from VASP
&SYSTEM
  ibrav = 0, nat = 8, ntyp = 3
/
ATOMIC_SPECIES
Sr 87.62 Sr.upf
V 50.94 V.upf
Ni 58.69 Ni.upf
CELL_PARAMETERS angstrom
-4.9816 -1.7515 -9.9851
3.0539 -10.8681 0.3828
-2.8908 -6.8143 -3.7513
ATOMIC_POSITIONS crystal
Sr 0.8750 0.0490 0.7500
Sr 0.7990 0.1250 0.2500
Sr 0.9510 0.6250 0.2500
Sr 0.3750 0.2010 0.7500
V 0.2500 0.7500 0.5000
V 0.5000 0.5000 0.0000
Ni 0.0000 0.0000 0.0000
Ni 0.7500 0.2500 0.5000
! Calculated volume: 287 Å³/cell

=====

Arrangement Q

! PBE Sr2VNi, optimized geometry; values from VASP
&SYSTEM
  ibrav = 0, nat = 4, ntyp = 3
/
ATOMIC_SPECIES
V 50.94 V.upf
Ni 58.69 Ni.upf
Sr 87.62 Sr.upf
CELL_PARAMETERS angstrom
4.6689 1.8930 1.8720
0.4100 1.5436 5.1318
2.8902 -2.9228 3.4627
ATOMIC_POSITIONS crystal
V 0.0000 0.0000 0.0000
Ni 0.5000 0.5000 0.5000
Sr 0.2500 0.2500 0.2500
Sr 0.7500 0.7500 0.7500
! Calculated volume: 110 Å³/cell

=====

arrangement P is favored, and the nearest alternative lies 136 meV per atom above it.